1.
NdDy6Er: relaxed, PBE.

Lattice parameters (Å, degrees): 5.030 5.030 10.048 90.00 90.00 90.00
Fractional positions:
Nd 0.000 0.000 0.500
Dy 0.500 0.000 0.247
Dy 0.500 0.500 0.000
Er 0.000 0.000 0.000
Dy 0.000 0.500 0.753
Dy 0.500 0.000 0.753
Dy 0.500 0.500 0.500
Dy 0.000 0.500 0.247

Results
E above lowest polymorph, meV/atom: 0.0
Size of the total moment, μB per cell: 0.00
SG: P4/mmm, No. 123
Energy of formation from the pure elements, eV/atom: 0.02

***

2.
In2HgBiTe4: relaxed, PBE.

Lattice parameters (Å, degrees): 4.424 7.783 7.845 70.31 90.00 90.00
Fractional positions:
Te 0.500 0.244 0.746
In 0.500 0.000 0.500
In 0.000 0.000 0.000
Hg 0.500 0.500 0.000
Te 0.500 0.756 0.254
Bi 0.000 0.500 0.500
Te 0.000 0.756 0.742
Te 0.000 0.244 0.258

Results
ΔE_f (raw), meV/atom: -220
Size of the total moment, μB per cell: 0.00
SG: P2/m, No. 10

***

3.
Ca5Au3: relaxed, PBE.

Lattice parameters (Å, degrees): 8.866 8.866 6.655 90.00 90.00 120.00
Fractional positions:
Ca 0.667 0.333 0.500
Ca 0.333 0.667 0.500
Ca 0.667 0.333 0.000
Au 0.000 0.610 0.250
Au 0.610 0.000 0.250
Ca 0.000 0.258 0.250
Au 0.390 0.000 0.750
Ca 0.258 0.258 0.750
Ca 0.333 0.667 0.000
Au 0.610 0.610 0.750
Ca 0.742 0.000 0.750
Au 0.390 0.390 0.250
Ca 0.258 0.000 0.250
Ca 0.742 0.742 0.250
Au 0.000 0.390 0.750
Ca 0.000 0.742 0.750

Results
E above lowest polymorph, meV/atom: 13.8
Size of the total moment, μB per cell: 0.00
SG: P6_3/mcm, No. 193
Energy of formation from the pure elements, eV/atom: -0.67

***

4.
RbPt3Pb: relaxed, PBE.

Lattice parameters (Å, degrees): 5.150 5.150 5.150 90.00 90.00 90.00
Fractional positions:
Pt 0.000 0.500 0.000
Pb 0.500 0.500 0.500
Pt 0.000 0.000 0.500
Rb 0.000 0.000 0.000
Pt 0.500 0.000 0.000

Results
E above lowest polymorph, meV/atom: 1118.6
Size of the total moment, μB per cell: 0.00
SG: Pm-3m, No. 221
Energy of formation from the pure elements, eV/atom: 1.78

***

5.
PrNd2UO8: relaxed, PBE.

Lattice parameters (Å, degrees): 3.983 5.550 7.750 90.00 90.00 90.01
Fractional positions:
Nd 0.500 0.500 0.246
O 0.500 0.745 0.500
O 0.500 0.221 0.000
O 0.000 0.236 0.218
O 0.500 0.255 0.500
Nd 0.500 0.500 0.754
Pr 0.000 0.000 0.500
O 0.500 0.779 0.000
U 0.000 0.000 0.000
O 0.000 0.236 0.782
O 0.000 0.764 0.218
O 0.000 0.764 0.782

Results
ΔE_f (raw), meV/atom: -3169
Size of the total moment, μB per cell: 0.32
SG: Pmmm, No. 47

***

6.
Ho5Er5Mg2: relaxed, PBE.

Lattice parameters (Å, degrees): 5.409 6.545 11.665 107.42 90.00 114.40
Fractional positions:
Er 0.443 0.887 0.766
Mg 0.068 0.136 0.735
Er 0.500 0.000 0.500
Er 0.691 0.383 0.031
Er 0.557 0.113 0.234
Ho 0.000 0.000 0.000
Ho 0.822 0.643 0.480
Mg 0.932 0.864 0.265
Er 0.309 0.617 0.969
Ho 0.178 0.357 0.520
Ho 0.255 0.509 0.248
Ho 0.745 0.491 0.752

Results
Size of the total moment, μB per cell: 0.00
SG: C2/m, No. 12
Energy of formation from the pure elements, eV/atom: 0.04

***

7.
NdEu2Tm: relaxed, PBE.

Lattice parameters (Å, degrees): 3.667 3.667 10.674 90.00 90.00 90.00
Fractional positions:
Eu 0.000 0.000 0.243
Nd 0.500 0.500 0.500
Eu 0.000 0.000 0.757
Tm 0.500 0.500 0.000

Results
E above lowest polymorph, meV/atom: 10.5
Size of the total moment, μB per cell: 15.23
SG: P4/mmm, No. 123
Energy of formation from the pure elements, eV/atom: 0.11

***

8.
K2BaCrCl8: relaxed, PBE.

Lattice parameters (Å, degrees): 5.778 7.442 8.995 90.02 89.98 106.66
Fractional positions:
Cl 0.064 0.798 0.188
Cl 0.937 0.202 0.188
Ba 0.000 0.000 0.500
K 0.501 0.500 0.238
Cr 0.000 0.000 0.000
Cl 0.529 0.248 0.500
Cl 0.063 0.798 0.812
Cl 0.393 0.165 0.000
Cl 0.471 0.752 0.500
Cl 0.607 0.835 0.000
Cl 0.936 0.202 0.812
K 0.499 0.500 0.762

Results
ΔE_f (raw), meV/atom: -1599
Size of the total moment, μB per cell: 2.04
SG: P2/m, No. 10